Record 1
The following is a DFT calculation (PBEsol) of a relaxed MnBe2Ag crystal.

Geometry as POSCAR:
```
MnBe2Ag
1.0
-3.064 3.064 2.551
3.064 -3.064 2.551
3.064 3.064 -2.551
Mn Be Ag
2 4 2
Direct
0.000 0.000 0.000
0.750 0.250 0.500
0.118 0.625 0.993
0.375 0.368 0.493
0.632 0.125 0.007
0.875 0.882 0.507
0.250 0.750 0.500
0.500 0.500 0.000
```

Properties
Total magnetic moment: 2.37 μB per formula unit
Energy relative to the elements: 572 meV per atom

Record 2
The following is a DFT calculation (PBEsol) of a relaxed MnCuPdAu2 crystal.

Geometry as POSCAR:
```
MnCuPdAu2
1.0
4.617 0.000 0.000
0.000 4.617 0.000
0.000 0.000 4.543
Mn Cu Pd Au
1 1 1 2
Direct
0.000 0.000 0.000
0.500 0.500 0.500
0.500 0.500 0.000
0.000 0.500 0.500
0.500 0.000 0.500
```

Properties
Total magnetic moment: 4.84 μB per formula unit
Energy relative to the elements: 816 meV per atom

Record 3
The following is a DFT calculation (PBEsol) of a relaxed TcC2F crystal.

Geometry as POSCAR:
```
TcC2F
1.0
-2.353 2.353 4.624
2.353 -2.353 4.624
2.353 2.353 -4.624
Tc C F
2 4 2
Direct
0.000 0.000 0.000
0.750 0.250 0.500
0.066 0.625 0.941
0.375 0.316 0.441
0.684 0.125 0.059
0.875 0.934 0.559
0.250 0.750 0.500
0.500 0.500 0.000
```

Properties
Total magnetic moment: 0.00 μB per formula unit
ΔE_f (raw): 1.072 eV/atom

Record 4
The following is a DFT calculation (PBEsol) of a relaxed ZnAs2W crystal.

Geometry as POSCAR:
```
ZnAs2W
1.0
-1.652 2.171 4.343
1.652 -2.171 4.343
1.652 2.171 -4.343
Zn As W
1 2 1
Direct
0.000 0.000 0.000
0.235 0.735 0.500
0.501 0.501 0.000
0.746 0.246 0.500
```

Properties
Total magnetic moment: 0.00 μB per formula unit
Energy relative to the elements: 390 meV per atom

Record 5
The following is a DFT calculation (PBEsol) of a relaxed CsKTl2 crystal.

Geometry as POSCAR:
```
CsKTl2
1.0
0.000 4.291 4.291
4.291 0.000 4.291
4.291 4.291 0.000
Cs K Tl
1 1 2
Direct
0.000 0.000 0.000
0.500 0.500 0.500
0.250 0.250 0.250
0.750 0.750 0.750
```

Properties
Total magnetic moment: 0.00 μB per formula unit
Energy relative to the elements: 80 meV per atom

Record 6
The following is a DFT calculation (PBEsol) of a relaxed NiPbCl2 crystal.

Geometry as POSCAR:
```
NiPbCl2
1.0
2.043 -2.786 0.000
2.043 2.786 0.000
0.000 0.000 7.627
Ni Pb Cl
1 1 2
Direct
0.000 0.000 0.000
0.500 0.500 0.713
0.000 0.000 0.460
0.500 0.500 0.097
```

Properties
Total magnetic moment: 0.36 μB per formula unit
ΔE_f (raw): -0.225 eV/atom

Record 7
The following is a DFT calculation (PBEsol) of a relaxed MgZn2Mo crystal.

Geometry as POSCAR:
```
MgZn2Mo
1.0
1.757 -2.056 0.000
1.757 2.056 0.000
0.000 0.000 8.507
Mg Zn Mo
1 2 1
Direct
0.000 0.000 0.000
0.000 0.000 0.495
0.500 0.500 0.263
0.500 0.500 0.735
```

Properties
Total magnetic moment: 0.00 μB per formula unit
Energy relative to the elements: 136 meV per atom

Record 8
The following is a DFT calculation (PBEsol) of a relaxed Y2Mg crystal.

Geometry as POSCAR:
```
Y2Mg
1.0
-1.837 1.837 6.229
1.837 -1.837 6.229
1.837 1.837 -6.229
Y Mg
2 1
Direct
0.157 0.157 0.000
0.843 0.843 0.000
0.500 0.500 0.000
```

Properties
Total magnetic moment: 0.23 μB per formula unit
Energy relative to the elements: -51 meV per atom

Record 9
The following is a DFT calculation (PBEsol) of a relaxed MoRu3 crystal.

Geometry as POSCAR:
```
MoRu3
1.0
4.695 0.000 0.000
0.000 8.665 0.000
0.000 0.000 5.426
Mo Ru
4 12
Direct
0.087 0.250 0.116
0.413 0.750 0.616
0.587 0.250 0.384
0.913 0.750 0.884
0.085 0.250 0.621
0.243 0.501 0.371
0.243 0.999 0.371
0.257 0.001 0.871
0.257 0.499 0.871
0.415 0.750 0.121
0.585 0.250 0.879
0.743 0.501 0.129
0.743 0.999 0.129
0.757 0.001 0.629
0.757 0.499 0.629
0.915 0.750 0.379
```

Properties
Total magnetic moment: 0.00 μB per formula unit
Energy relative to the elements: 24 meV per atom

Record 10
The following is a DFT calculation (PBEsol) of a relaxed Ca2PdAu2 crystal.

Geometry as POSCAR:
```
Ca2PdAu2
1.0
7.319 0.000 0.000
0.000 7.319 0.000
0.000 0.000 4.065
Ca Pd Au
4 2 4
Direct
0.175 0.325 0.000
0.325 0.825 0.000
0.675 0.175 0.000
0.825 0.675 0.000
0.000 0.000 0.500
0.500 0.500 0.500
0.133 0.633 0.500
0.367 0.133 0.500
0.633 0.867 0.500
0.867 0.367 0.500
```

Properties
Total magnetic moment: 0.00 μB per formula unit
Energy relative to the elements: -630 meV per atom

Record 11
The following is a DFT calculation (PBEsol) of a relaxed YZnPt2 crystal.

Geometry as POSCAR:
```
YZnPt2
1.0
0.000 3.260 3.260
3.260 0.000 3.260
3.260 3.260 0.000
Y Zn Pt
1 1 2
Direct
0.000 0.000 0.000
0.250 0.250 0.250
0.500 0.500 0.500
0.750 0.750 0.750
```

Properties
Total magnetic moment: 0.00 μB per formula unit
Energy relative to the elements: -627 meV per atom

Record 12
The following is a DFT calculation (PBEsol) of a relaxed AsOsBr2 crystal.

Geometry as POSCAR:
```
AsOsBr2
1.0
3.312 -3.316 0.000
3.312 3.316 0.000
0.000 0.000 3.235
As Os Br
1 1 2
Direct
0.000 0.000 0.000
0.500 0.500 0.000
0.000 0.500 0.500
0.500 0.000 0.500
```

Properties
Total magnetic moment: 0.00 μB per formula unit
ΔE_f (raw): 1.265 eV/atom

Q: What is the formula in the first record?
A: MnBe2Ag